Below is a relaxed Ho2RuCl crystal, with properties calculated at the PBE level.

Formation energy (no corrections) = -0.829 eV per atom
Electronic total energy = -5.898 eV/atom
Calculated volume = 98.9 Å³ per cell
E above lowest polymorph = 159 meV per atom

a = 7.8927 Å, b = 7.8927 Å, c = 7.8927 Å
α = 28.49°, β = 28.49°, γ = 28.49°
Sites, in units of the cell vectors:
1 Ho 0.0000 0.0000 0.0000
2 Ho 0.1992 0.1992 0.1992
3 Ru 0.5989 0.5989 0.5989
4 Cl 0.4281 0.4281 0.4281